No. 1
A geometry-optimized Nd3Er6Tm2 structure, computed with PBE.

For the energy above the lowest structure with this stoichiometry, the calculation gives 0.128 eV per atom. Its calculated total energy is -95.09 eV per cell. For the formation energy, the calculation gives 280 meV/atom.

The structure belongs to space group I4/mmm (No. 139); the cell edges are 4.730, 4.730 and 33.071 Å and the angles 90.00°, 90.00° and 90.00°. The asymmetric unit holds Nd at (0.000, 0.000, 0.000), Nd at (0.000, 0.000, 0.204), Er at (0.000, 0.000, 0.308), Er at (0.000, 0.500, 0.120) and Tm at (0.000, 0.000, 0.454).

=====

No. 2
A geometry-optimized Tb2Pm2Sc structure, computed with PBE.

For the energy above the lowest structure with this stoichiometry, the calculation gives 0.092 eV per atom. Its calculated total energy is -96.58 eV per cell. For the formation energy, the calculation gives 190 meV/atom.

The structure belongs to space group Imma (No. 74); the cell edges are 3.530, 5.655 and 31.800 Å and the angles 90.00°, 90.00° and 90.00°. The asymmetric unit holds Tb at (0.000, 0.250, 0.020), Tb at (0.000, 0.250, 0.116), Pm at (0.000, 0.250, 0.294), Pm at (0.000, 0.250, 0.813) and Sc at (0.000, 0.250, 0.574).

=====

Question: The highest calculated total energy belongs to which entry?
Answer: Nd3Er6Tm2

=====

Question: Which formula does entry 2 have?
Answer: Tb2Pm2Sc

=====

Question: Number 1 is which compound?
Answer: Nd3Er6Tm2